Entry 1:
# HgAs2 PBE relaxed
data_HgAs2
_symmetry_space_group_name_H-M 'I 4/m m m'
_symmetry_Int_Tables_number 139
_symmetry_space_group_name_Hall '-I 4 2'
_cell_length_a 3.308
_cell_length_b 3.308
_cell_length_c 13.820
_cell_angle_alpha 90.00
_cell_angle_beta 90.00
_cell_angle_gamma 90.00
loop_
_atom_site_label
_atom_site_fract_x
_atom_site_fract_y
_atom_site_fract_z
_atom_site_occupancy
Hg1 0.000 0.000 0.000 1
As1 0.000 0.000 0.295 1
# Density   7.69 Mg/m³
# V   25.21 Å³/atom
# ΔE_f   0.23 eV/atom


Entry 2:
# Th4P2S5 PBE relaxed
data_Th4P2S5
_symmetry_space_group_name_H-M 'I m m m'
_symmetry_Int_Tables_number 71
_symmetry_space_group_name_Hall '-I 2 2'
_cell_length_a 4.308
_cell_length_b 8.300
_cell_length_c 17.252
_cell_angle_alpha 90.00
_cell_angle_beta 90.00
_cell_angle_gamma 90.00
loop_
_atom_site_label
_atom_site_fract_x
_atom_site_fract_y
_atom_site_fract_z
_atom_site_occupancy
Th1 0.000 0.000 0.199 1
Th2 0.000 0.209 0.500 1
P1 0.000 0.000 0.354 1
S1 0.000 0.296 0.340 1
S2 0.000 0.500 0.000 1
# Density   6.19 Mg/m³
# V   28.04 Å³/atom
# Formation energy from raw total energies   -11.07 eV/f.u.


Entry 3:
# YSe2Br PBE relaxed
data_YSe2Br
_symmetry_space_group_name_H-M 'I 4/m m m'
_symmetry_Int_Tables_number 139
_symmetry_space_group_name_Hall '-I 4 2'
_cell_length_a 4.277
_cell_length_b 4.277
_cell_length_c 10.072
_cell_angle_alpha 90.00
_cell_angle_beta 90.00
_cell_angle_gamma 90.00
loop_
_atom_site_label
_atom_site_fract_x
_atom_site_fract_y
_atom_site_fract_z
_atom_site_occupancy
Y1 0.000 0.000 0.000 1
Se1 0.000 0.500 0.250 1
Br1 0.000 0.000 0.500 1
# Density   5.89 Mg/m³
# V   23.04 Å³/atom
# Formation energy from raw total energies   -3.50 eV/f.u.
# Offset from the most stable computed form   387 meV per atom


Entry 4:
# LiIn4Hg6 PBE relaxed
data_LiIn4Hg6
_symmetry_space_group_name_H-M 'P 1 21/m 1'
_symmetry_Int_Tables_number 11
_cell_length_a 4.788
_cell_length_b 21.889
_cell_length_c 5.920
_cell_angle_alpha 90.00
_cell_angle_beta 113.01
_cell_angle_gamma 90.00
loop_
_symmetry_equiv_pos_as_xyz
'x,y,z'
'-x,-y,-z'
'-x,y+1/2,-z'
'x,-y+1/2,z'
loop_
_atom_site_label
_atom_site_fract_x
_atom_site_fract_y
_atom_site_fract_z
_atom_site_occupancy
Li1 0.093 0.250 0.186 1
In1 0.077 0.626 0.164 1
In2 0.335 0.529 0.669 1
Hg1 0.000 0.000 0.000 1
Hg2 0.211 0.750 0.376 1
Hg3 0.237 0.124 0.471 1
Hg4 0.439 0.676 0.879 1
# Density   9.71 Mg/m³
# V   25.96 Å³/atom
# ΔE_f   -0.05 eV/atom


Entry 5:
# InCSe3 PBE relaxed
data_InCSe3
_symmetry_space_group_name_H-M 'P m -3 m'
_symmetry_Int_Tables_number 221
_symmetry_space_group_name_Hall '-P 4 2 3'
_cell_length_a 4.539
_cell_length_b 4.539
_cell_length_c 4.539
_cell_angle_alpha 90.00
_cell_angle_beta 90.00
_cell_angle_gamma 90.00
loop_
_atom_site_label
_atom_site_fract_x
_atom_site_fract_y
_atom_site_fract_z
_atom_site_occupancy
In1 0.000 0.000 0.000 1
C1 0.500 0.500 0.500 1
Se1 0.000 0.500 0.500 1
# Density   6.46 Mg/m³
# V   18.70 Å³/atom
# Formation energy from raw total energies   4.19 eV/f.u.
# Offset from the most stable computed form   0 meV per atom


Entry 6:
# KMgI2 PBE relaxed
data_KMgI2
_symmetry_space_group_name_H-M 'F m -3 m'
_symmetry_Int_Tables_number 225
_symmetry_space_group_name_Hall '-F 4 2 3'
_cell_length_a 8.378
_cell_length_b 8.378
_cell_length_c 8.378
_cell_angle_alpha 90.00
_cell_angle_beta 90.00
_cell_angle_gamma 90.00
loop_
_atom_site_label
_atom_site_fract_x
_atom_site_fract_y
_atom_site_fract_z
_atom_site_occupancy
K1 0.000 0.000 0.000 1
Mg1 0.000 0.000 0.500 1
I1 0.250 0.250 0.250 1
# Density   3.58 Mg/m³
# V   36.75 Å³/atom
# Formation energy from raw total energies   -2.90 eV/f.u.
# Offset from the most stable computed form   78 meV per atom


Entry 7:
# Li2SbMo PBE relaxed
data_Li2SbMo
_symmetry_space_group_name_H-M 'C m m 2'
_symmetry_Int_Tables_number 35
_cell_length_a 3.587
_cell_length_b 4.854
_cell_length_c 8.983
_cell_angle_alpha 90.00
_cell_angle_beta 90.00
_cell_angle_gamma 90.00
loop_
_symmetry_equiv_pos_as_xyz
'x,y,z'
'-x,-y,z'
'-x,y,z'
'x,-y,z'
'x+1/2,y+1/2,z'
'-x+1/2,-y+1/2,z'
'-x+1/2,y+1/2,z'
'x+1/2,-y+1/2,z'
loop_
_atom_site_label
_atom_site_fract_x
_atom_site_fract_y
_atom_site_fract_z
_atom_site_occupancy
Li1 0.000 0.000 0.000 1
Li2 0.000 0.500 0.274 1
Sb1 0.000 0.500 0.738 1
Mo1 0.000 0.000 0.511 1
# Density   4.92 Mg/m³
# V   19.55 Å³/atom
# Formation energy from raw total energies   1.12 eV/f.u.


Entry 8:
# PtRh3S PBE relaxed
data_PtRh3S
_symmetry_space_group_name_H-M 'P m -3 m'
_symmetry_Int_Tables_number 221
_symmetry_space_group_name_Hall '-P 4 2 3'
_cell_length_a 4.803
_cell_length_b 4.803
_cell_length_c 4.803
_cell_angle_alpha 90.00
_cell_angle_beta 90.00
_cell_angle_gamma 90.00
loop_
_atom_site_label
_atom_site_fract_x
_atom_site_fract_y
_atom_site_fract_z
_atom_site_occupancy
Pt1 0.000 0.000 0.000 1
Rh1 0.000 0.000 0.500 1
S1 0.500 0.500 0.500 1
# Density   8.03 Mg/m³
# V   22.16 Å³/atom
# Formation energy from raw total energies   8.14 eV/f.u.
# Offset from the most stable computed form   1290 meV per atom


Entry 9:
# ScTc2Ir PBE relaxed
data_ScTc2Ir
_symmetry_space_group_name_H-M 'P 4/m m m'
_symmetry_Int_Tables_number 123
_symmetry_space_group_name_Hall '-P 4 2'
_cell_length_a 2.757
_cell_length_b 2.757
_cell_length_c 8.377
_cell_angle_alpha 90.00
_cell_angle_beta 90.00
_cell_angle_gamma 90.00
loop_
_atom_site_label
_atom_site_fract_x
_atom_site_fract_y
_atom_site_fract_z
_atom_site_occupancy
Sc1 0.000 0.000 0.000 1
Tc1 0.500 0.500 0.272 1
Ir1 0.000 0.000 0.500 1
# Density   11.29 Mg/m³
# V   15.92 Å³/atom
# ΔE_f   -0.03 eV/atom
# Offset from the most stable computed form   162 meV per atom


Entry 10:
# TiCu2Pd8 PBE relaxed
data_TiCu2Pd8
_symmetry_space_group_name_H-M 'C 1 2/m 1'
_symmetry_Int_Tables_number 12
_cell_length_a 9.715
_cell_length_b 8.681
_cell_length_c 4.637
_cell_angle_alpha 90.00
_cell_angle_beta 105.93
_cell_angle_gamma 90.00
loop_
_symmetry_equiv_pos_as_xyz
'x,y,z'
'-x,-y,-z'
'-x,y,-z'
'x,-y,z'
'x+1/2,y+1/2,z'
'-x+1/2,-y+1/2,-z'
'-x+1/2,y+1/2,-z'
'x+1/2,-y+1/2,z'
loop_
_atom_site_label
_atom_site_fract_x
_atom_site_fract_y
_atom_site_fract_z
_atom_site_occupancy
Ti1 0.000 0.000 0.000 1
Cu1 0.141 0.000 0.538 1
Pd1 0.082 0.500 0.298 1
Pd2 0.084 0.241 0.796 1
Pd3 0.238 0.500 0.889 1
# Density   9.06 Mg/m³
# V   17.09 Å³/atom
# ΔE_f   0.08 eV/atom
# Offset from the most stable computed form   372 meV per atom


Entry 11:
# MgSe2Br PBE relaxed
data_MgSe2Br
_symmetry_space_group_name_H-M 'P m m m'
_symmetry_Int_Tables_number 47
_cell_length_a 3.601
_cell_length_b 3.642
_cell_length_c 7.227
_cell_angle_alpha 90.00
_cell_angle_beta 90.00
_cell_angle_gamma 90.00
loop_
_symmetry_equiv_pos_as_xyz
'x,y,z'
'-x,-y,-z'
'-x,-y,z'
'x,y,-z'
'x,-y,-z'
'-x,y,z'
'-x,y,-z'
'x,-y,z'
loop_
_atom_site_label
_atom_site_fract_x
_atom_site_fract_y
_atom_site_fract_z
_atom_site_occupancy
Mg1 0.000 0.000 0.000 1
Se1 0.500 0.500 0.173 1
Br1 0.000 0.000 0.500 1
# Density   4.59 Mg/m³
# V   23.69 Å³/atom
# Formation energy from raw total energies   -1.37 eV/f.u.
# Offset from the most stable computed form   317 meV per atom


Entry 12:
# PmPrTm2Hg4 PBE relaxed
data_PmPrTm2Hg4
_symmetry_space_group_name_H-M 'R -3 m'
_symmetry_Int_Tables_number 166
_symmetry_space_group_name_Hall '-R 3 2"'
_cell_length_a 5.3213
_cell_length_b 5.3213
_cell_length_c 26.0938
_cell_angle_alpha 90.00
_cell_angle_beta 90.00
_cell_angle_gamma 120.00
loop_
_atom_site_label
_atom_site_fract_x
_atom_site_fract_y
_atom_site_fract_z
_atom_site_occupancy
Pm1 0.0000 0.0000 0.0000 1
Pr1 0.0000 0.0000 0.5000 1
Tm1 0.0000 0.0000 0.2503 1
Hg1 0.0000 0.0000 0.1240 1
Hg2 0.0000 0.0000 0.3739 1
# Density   11.10 Mg/m³
# V   26.66 Å³/atom
# ΔE_f   -0.46 eV/atom


> Among the records above, which one has the lowest V?

ScTc2Ir


What did the sixth record say?
# KMgI2 PBE relaxed
data_KMgI2
_symmetry_space_group_name_H-M 'F m -3 m'
_symmetry_Int_Tables_number 225
_symmetry_space_group_name_Hall '-F 4 2 3'
_cell_length_a 8.378
_cell_length_b 8.378
_cell_length_c 8.378
_cell_angle_alpha 90.00
_cell_angle_beta 90.00
_cell_angle_gamma 90.00
loop_
_atom_site_label
_atom_site_fract_x
_atom_site_fract_y
_atom_site_fract_z
_atom_site_occupancy
K1 0.000 0.000 0.000 1
Mg1 0.000 0.000 0.500 1
I1 0.250 0.250 0.250 1
# Density   3.58 Mg/m³
# V   36.75 Å³/atom
# Formation energy from raw total energies   -2.90 eV/f.u.
# Offset from the most stable computed form   78 meV per atom


Repeat the tenth record exactly.
# TiCu2Pd8 PBE relaxed
data_TiCu2Pd8
_symmetry_space_group_name_H-M 'C 1 2/m 1'
_symmetry_Int_Tables_number 12
_cell_length_a 9.715
_cell_length_b 8.681
_cell_length_c 4.637
_cell_angle_alpha 90.00
_cell_angle_beta 105.93
_cell_angle_gamma 90.00
loop_
_symmetry_equiv_pos_as_xyz
'x,y,z'
'-x,-y,-z'
'-x,y,-z'
'x,-y,z'
'x+1/2,y+1/2,z'
'-x+1/2,-y+1/2,-z'
'-x+1/2,y+1/2,-z'
'x+1/2,-y+1/2,z'
loop_
_atom_site_label
_atom_site_fract_x
_atom_site_fract_y
_atom_site_fract_z
_atom_site_occupancy
Ti1 0.000 0.000 0.000 1
Cu1 0.141 0.000 0.538 1
Pd1 0.082 0.500 0.298 1
Pd2 0.084 0.241 0.796 1
Pd3 0.238 0.500 0.889 1
# Density   9.06 Mg/m³
# V   17.09 Å³/atom
# ΔE_f   0.08 eV/atom
# Offset from the most stable computed form   372 meV per atom


> Look up the V of the eleventh one.

23.69 Å³/atom